# FeGeRhO6 (PBE+U, relaxed)
# Electronic total energy ... -113.45 eV per cell
# Mass density ... 5.8 g cm⁻³
data_FeGeRhO6
_space_group_name_H-M_alt 'P 42 n m'
_space_group_IT_number 102
_space_group_name_Hall 'P 4n -2n'
_cell_length_a 4.5580
_cell_length_b 4.5580
_cell_length_c 8.9842
_cell_angle_alpha 90.00
_cell_angle_beta 90.00
_cell_angle_gamma 90.00
loop_
_atom_site_label
_atom_site_type_symbol
_atom_site_fract_x
_atom_site_fract_y
_atom_site_fract_z
Fe1 Fe 0.0000 0.0000 0.0000
Ge1 Ge 0.0000 0.0000 0.3308
Rh1 Rh 0.0000 0.0000 0.6641
O1 O 0.1905 0.1905 0.1677
O2 O 0.1896 0.1896 0.4925
O3 O 0.1965 0.1965 0.8347